Material: Li7YBi4
Method: DFT, PBE
State: optimized geometry

Cell: 5.1707 8.8915 6.8594 Å, 85.55 67.86 73.10°
Fractional positions:
Bi 0.2893 0.2985 0.1230
Bi 0.4187 0.7804 0.3822
Bi 0.7107 0.7015 0.8770
Li 0.3479 0.5603 0.7439
Li 0.5000 0.0000 0.0000
Bi 0.5813 0.2196 0.6178
Li 0.0705 0.6344 0.2246
Li 0.7815 0.9019 0.5351
Li 0.9295 0.3656 0.7754
Li 0.6521 0.4397 0.2561
Y 0.0000 0.0000 0.0000
Li 0.2185 0.0981 0.4649

Output
- Formation enthalpy at 0 K: -0.284 eV per atom
- VASP energy: -3.232 eV/atom


Material: Cs5MgTl6
Method: DFT, PBE
State: optimized geometry

Cell: 9.7238 8.2088 9.7525 Å, 65.11 79.05 63.16°
Fractional positions:
Tl 0.6871 0.9711 0.0000
Cs 0.0000 0.3588 0.2823
Cs 0.5000 0.7825 0.4351
Tl 0.1787 0.0489 0.7130
Tl 0.8213 0.2381 0.7130
Mg 0.0000 0.0000 0.0000
Tl 0.1787 0.7619 0.2870
Cs 0.5000 0.2175 0.5649
Tl 0.3129 0.0289 0.0000
Tl 0.8213 0.9511 0.2870
Cs 0.5000 0.5000 0.0000
Cs 0.0000 0.6412 0.7177

Output
- Formation enthalpy at 0 K: -0.060 eV per atom
- VASP energy: -1.731 eV/atom


What is the formula in the second record?
Cs5MgTl6


What did the second record say?
Material: Cs5MgTl6
Method: DFT, PBE
State: optimized geometry

Cell: 9.7238 8.2088 9.7525 Å, 65.11 79.05 63.16°
Fractional positions:
Tl 0.6871 0.9711 0.0000
Cs 0.0000 0.3588 0.2823
Cs 0.5000 0.7825 0.4351
Tl 0.1787 0.0489 0.7130
Tl 0.8213 0.2381 0.7130
Mg 0.0000 0.0000 0.0000
Tl 0.1787 0.7619 0.2870
Cs 0.5000 0.2175 0.5649
Tl 0.3129 0.0289 0.0000
Tl 0.8213 0.9511 0.2870
Cs 0.5000 0.5000 0.0000
Cs 0.0000 0.6412 0.7177

Output
- Formation enthalpy at 0 K: -0.060 eV per atom
- VASP energy: -1.731 eV/atom


The lowest formation enthalpy at 0 K belongs to which entry?
Li7YBi4